# FeHO2

A relaxed structure of FeHO2 (PBEsol, Alexandria via LeMat-Bulk).

```
16
Lattice="-4.914 4.914 1.407 4.914 -4.914 1.407 4.914 4.914 -1.407" Properties=species:S:1:pos:R:3 pbc="T T T"
Fe 6.434 1.426 0.000
Fe 1.426 3.393 0.000
Fe 3.488 1.520 1.407
Fe -1.520 3.488 1.407
H 4.141 3.545 0.000
H 1.369 -0.773 1.407
H 3.545 5.687 0.000
H 0.773 1.369 1.407
O 3.325 0.365 0.000
O 3.387 2.913 0.000
O 4.549 -1.589 1.407
O 2.001 -1.527 1.407
O 2.913 6.441 0.000
O 0.365 6.503 0.000
O 1.527 2.001 1.407
O 1.589 4.549 1.407
```

- Space group: No. 87

=====

# FeHO2

A relaxed structure of FeHO2 (PBEsol, Alexandria via LeMat-Bulk).

```
8
Lattice="1.502 -5.729 0.000 1.502 5.729 0.000 0.000 0.000 3.800" Properties=species:S:1:pos:R:3 pbc="T T T"
Fe 1.502 3.670 2.850
Fe 1.502 -3.670 0.950
H 1.502 0.000 0.000
H 1.502 0.000 1.900
O 1.502 3.513 0.950
O 1.502 0.747 0.950
O 1.502 -0.747 2.850
O 1.502 -3.513 2.850
```

- Space group: No. 63

=====

# FeHO2

A relaxed structure of FeHO2 (PBEsol, Alexandria via LeMat-Bulk).

```
8
Lattice="2.770 0.000 0.000 0.000 4.200 0.000 0.000 0.000 4.683" Properties=species:S:1:pos:R:3 pbc="T T T"
Fe 0.000 1.007 0.000
Fe 1.385 3.193 2.342
H 0.000 1.164 2.300
H 1.385 3.035 4.642
O 0.000 0.055 3.055
O 0.000 2.038 1.648
O 1.385 2.161 3.990
O 1.385 4.145 0.713
```

- Space group: No. 31

=====

# FeHO2

A relaxed structure of FeHO2 (PBEsol, Alexandria via LeMat-Bulk).

```
8
Lattice="-2.037 2.037 3.883 2.037 -2.037 3.883 2.037 2.037 -3.883" Properties=species:S:1:pos:R:3 pbc="T T T"
Fe 0.000 0.000 0.000
Fe 0.000 2.037 1.942
H 2.037 0.000 1.942
H 0.000 0.000 3.883
O 1.019 -0.825 2.912
O 1.213 1.019 0.971
O 1.019 2.862 -0.971
O 0.825 1.019 4.854
```

- Space group: No. 122

=====

# FeHO2

A relaxed structure of FeHO2 (PBEsol, Alexandria via LeMat-Bulk).

```
16
Lattice="9.466 0.000 0.000 0.000 2.783 0.000 0.000 0.000 4.316" Properties=species:S:1:pos:R:3 pbc="T T T"
Fe 1.315 0.696 0.195
Fe 3.418 2.087 2.353
Fe 6.047 0.696 1.962
Fe 8.151 2.087 4.120
H 0.952 2.087 2.459
H 3.780 0.696 0.302
H 5.685 2.087 4.014
H 8.513 0.696 1.856
O 0.529 2.087 3.428
O 1.855 2.087 1.338
O 2.878 0.696 3.496
O 4.204 0.696 1.270
O 5.262 2.087 3.046
O 6.587 2.087 0.820
O 7.611 0.696 2.977
O 8.937 0.696 0.888
```

- Space group: No. 62

=====

# Fe2P2H4O9

A relaxed structure of Fe2P2H4O9 (PBEsol, Alexandria via LeMat-Bulk).

```
68
Lattice="6.504 0.000 0.000 0.000 13.463 0.000 -6.216 0.000 7.306" Properties=species:S:1:pos:R:3 pbc="T T T"
Fe -1.418 1.713 2.873
Fe -4.526 5.019 6.526
Fe -0.391 9.994 2.440
Fe -3.499 10.200 6.093
Fe 3.787 3.263 1.214
Fe 0.679 3.469 4.867
Fe 4.814 8.444 0.780
Fe 1.706 11.750 4.433
P 0.576 2.478 0.524
P -2.532 4.254 4.177
P 1.616 7.819 0.965
P -1.492 12.375 4.618
P 1.779 1.087 2.688
P -1.329 5.644 6.341
P 2.819 9.209 3.129
P -0.289 10.985 6.782
H -4.213 7.430 4.990
H -1.105 12.764 1.337
H -3.621 0.352 5.521
H -0.513 6.380 1.868
H -0.892 7.772 3.549
H -4.001 12.423 7.202
H -0.902 8.755 4.813
H 2.206 11.440 1.160
H -1.918 2.023 6.146
H 1.190 4.708 2.493
H 4.288 1.040 0.104
H 1.180 5.691 3.757
H 0.801 7.083 5.438
H 3.909 13.111 1.785
H 1.392 0.699 5.969
H 4.500 6.033 2.316
O -0.679 2.852 1.331
O -3.788 3.879 4.984
O -1.367 6.803 2.141
O -4.475 13.391 5.794
O -3.422 8.798 4.577
O -0.314 11.397 0.924
O 0.350 8.692 1.031
O -2.758 11.502 4.684
O -1.825 0.368 4.401
O 1.283 6.363 0.748
O 1.149 1.125 1.185
O -1.959 5.606 4.838
O -1.447 3.172 4.345
O 1.661 3.560 0.692
O 2.683 8.459 0.073
O -0.425 11.735 3.726
O -0.415 8.538 3.982
O 2.693 11.656 0.329
O -2.405 1.807 6.977
O 0.703 4.924 3.324
O 0.713 1.727 3.580
O -2.395 5.004 7.233
O -1.373 9.903 6.614
O 1.735 10.291 2.961
O 2.246 7.856 2.468
O -0.862 12.338 6.121
O -0.995 7.100 6.558
O 2.113 13.095 2.905
O 3.046 1.961 2.622
O -0.062 4.770 6.275
O 0.601 2.066 6.382
O 3.709 4.665 2.729
O 4.762 0.072 1.512
O 1.654 6.659 5.165
O 4.075 9.583 2.323
O 0.967 10.611 5.976
```

- Space group: No. 14

=====

# VFeP2H2O10

A relaxed structure of VFeP2H2O10 (PBEsol, Alexandria via LeMat-Bulk).

```
16
Lattice="5.080 0.000 0.000 -1.022 5.128 0.000 -1.800 -2.666 6.501" Properties=species:S:1:pos:R:3 pbc="T T T"
V 0.000 0.000 0.000
Fe -0.900 -1.333 3.250
P -0.343 1.534 4.735
P 2.601 0.927 1.766
H -0.835 2.947 1.185
H 3.094 -0.486 5.316
O -0.999 3.906 1.425
O -1.699 1.281 5.511
O -0.099 0.344 3.825
O -0.411 2.866 4.004
O 1.477 0.875 0.689
O 0.782 1.587 5.812
O 2.669 -0.404 2.497
O 2.357 2.117 2.676
O 3.957 1.180 0.990
O 3.257 -1.445 5.076
```

- Space group: No. 2

=====

# FeH9S2O12

A relaxed structure of FeH9S2O12 (PBEsol, Alexandria via LeMat-Bulk).

```
96
Lattice="9.283 0.000 0.000 0.000 17.852 0.000 0.000 0.000 5.351" Properties=species:S:1:pos:R:3 pbc="T T T"
Fe 0.000 0.000 0.000
Fe 0.000 8.926 0.000
Fe 4.642 0.000 2.676
Fe 4.642 8.926 2.676
H 0.059 4.463 0.294
H 0.743 1.778 1.609
H 0.743 7.148 1.609
H 0.846 10.527 3.543
H 0.846 16.251 3.543
H 1.589 12.562 5.031
H 1.589 14.216 5.031
H 1.841 3.643 5.277
H 1.841 5.283 5.277
H 2.800 12.569 2.602
H 2.800 14.209 2.602
H 3.052 3.636 2.355
H 3.052 5.290 2.355
H 3.795 1.601 0.867
H 3.795 7.325 0.867
H 3.899 10.704 4.285
H 3.899 16.074 4.285
H 4.582 13.389 2.970
H 4.701 4.463 2.382
H 5.384 1.778 1.066
H 5.384 7.148 1.066
H 5.488 10.527 4.484
H 5.488 16.251 4.484
H 6.231 12.562 2.996
H 6.231 14.216 2.996
H 6.483 3.643 2.750
H 6.483 5.283 2.750
H 7.442 12.569 0.074
H 7.442 14.209 0.074
H 7.694 3.636 0.320
H 7.694 5.290 0.320
H 8.437 1.601 1.809
H 8.437 7.325 1.809
H 8.541 10.704 3.742
H 8.541 16.074 3.742
H 9.224 13.389 5.057
S 2.151 1.523 3.756
S 2.151 7.403 3.756
S 2.491 10.449 1.080
S 2.491 16.329 1.080
S 6.792 1.523 4.272
S 6.792 7.403 4.272
S 7.132 10.449 1.596
S 7.132 16.329 1.596
O 0.112 10.470 4.219
O 0.112 16.308 4.219
O 0.733 1.082 4.008
O 0.733 7.844 4.008
O 1.055 13.389 4.812
O 1.326 4.463 0.170
O 1.720 9.197 0.794
O 1.720 17.581 0.794
O 1.930 11.175 2.229
O 1.930 15.603 2.229
O 2.050 2.386 2.561
O 2.050 6.540 2.561
O 2.592 11.312 5.236
O 2.592 15.466 5.236
O 2.711 2.249 4.905
O 2.711 6.677 4.905
O 2.921 0.271 3.469
O 2.921 8.655 3.469
O 3.316 13.389 2.846
O 3.587 4.463 2.136
O 3.908 10.008 1.333
O 3.908 16.770 1.333
O 4.530 1.544 1.544
O 4.530 7.382 1.544
O 4.754 10.470 3.808
O 4.754 16.308 3.808
O 5.375 1.082 4.019
O 5.375 7.844 4.019
O 5.696 13.389 3.215
O 5.967 4.463 2.505
O 6.362 9.197 1.882
O 6.362 17.581 1.882
O 6.572 11.175 0.447
O 6.572 15.603 0.447
O 6.691 2.386 0.115
O 6.691 6.540 0.115
O 7.233 11.312 2.791
O 7.233 15.466 2.791
O 7.353 2.249 3.122
O 7.353 6.677 3.122
O 7.563 0.271 4.558
O 7.563 8.655 4.558
O 7.957 13.389 5.181
O 8.228 4.463 0.539
O 8.550 10.008 1.343
O 8.550 16.770 1.343
O 9.171 1.544 1.132
O 9.171 7.382 1.132
```

- Space group: No. 62

=====

# ZnFeH2O

A relaxed structure of ZnFeH2O (PBEsol, Alexandria via LeMat-Bulk).

```
5
Lattice="3.197 0.000 0.000 0.000 3.197 0.000 0.000 0.000 3.861" Properties=species:S:1:pos:R:3 pbc="T T T"
Zn 0.000 0.000 0.000
Fe 1.598 1.598 1.931
H 0.000 1.598 1.931
H 1.598 0.000 1.931
O 1.598 1.598 0.000
```

- Space group: No. 123

=====

# FeHOs2Pd

A relaxed structure of FeHOs2Pd (PBEsol, Alexandria via LeMat-Bulk).

```
5
Lattice="4.590 0.000 0.000 0.000 4.590 0.000 0.000 0.000 2.871" Properties=species:S:1:pos:R:3 pbc="T T T"
Fe 0.000 0.000 0.000
H 0.000 0.000 1.436
Os 0.000 2.295 0.000
Os 2.295 0.000 0.000
Pd 2.295 2.295 1.436
```

- Space group: No. 123

=====

# FeP2HS

A relaxed structure of FeP2HS (PBEsol, Alexandria via LeMat-Bulk).

```
5
Lattice="3.516 0.000 0.000 0.000 3.516 0.000 0.000 0.000 4.825" Properties=species:S:1:pos:R:3 pbc="T T T"
Fe 0.000 0.000 0.000
P 0.000 1.758 2.412
P 1.758 0.000 2.412
H 1.758 1.758 2.412
S 1.758 1.758 0.000
```

- Space group: No. 123

=====

# FeSb2PH

A relaxed structure of FeSb2PH (PBEsol, Alexandria via LeMat-Bulk).

```
5
Lattice="5.250 0.000 0.000 0.000 5.250 0.000 0.000 0.000 3.114" Properties=species:S:1:pos:R:3 pbc="T T T"
Fe 0.000 0.000 0.000
Sb 0.000 2.625 1.557
Sb 2.625 0.000 1.557
P 2.625 2.625 1.557
H 2.625 2.625 0.000
```

- Space group: No. 123

=====

Number 1: E_tot -0.4974 Ry per atom. Number 2: E_tot -0.4971 Ry per atom. Number 3: E_tot -0.5048 Ry per atom. Number 4: E_tot -0.4560 Ry per atom. Number 5: E_tot -0.5035 Ry per atom. Number 6: E_tot -0.4999 Ry per atom. Number 7: E_tot -0.5430 Ry per atom. Number 8: E_tot -0.4245 Ry per atom. Number 9: E_tot -0.3400 Ry per atom. Number 10: E_tot -0.5536 Ry per atom. Number 11: E_tot -0.3673 Ry per atom. Number 12: E_tot -0.3663 Ry per atom.